Here is a relaxed Ta2TiB crystal from Alexandria. Energies are from PBE.

Cell: 3.3214 9.6644 7.4393 Å, 90.00 90.00 90.00°
Closest atoms and distances in Å follow each position.
Space group Cmcm (No. 63)
Asymmetric unit:
Ta (0.0000, 0.1414, 0.0529) x8  3 B 2.40-2.54
Ti (0.0000, 0.4285, 0.2500) x4  2 B 2.49
B (0.0000, 0.2637, 0.7500) x4  6 Ta 2.40-2.54, 2 Ti 2.49

Computed properties:
Calculated total energy (eV/atom): -9.847
DFT formation energy (meV per atom): -278